Entry a
CaZnAsSe2 after structural relaxation, computed with PBE.

abc: 5.1763 5.1763 4.6409
angles: 90.00 90.00 90.00
Atoms (fractional coordinates):
Ca (0.0000, 0.0000, 0.0000)
Zn (0.5000, 0.5000, 0.5000)
As (0.5000, 0.5000, 0.0000)
Se (0.0000, 0.5000, 0.5000)
Se (0.5000, 0.0000, 0.5000)

Summary:
space group	P4/mmm (123)
M_tot	0.00	μB per atom

Entry b
CaZnAsSe2 after structural relaxation, computed with PBE.

abc: 5.4049 5.4049 5.5241
angles: 90.00 90.00 90.00
Atoms (fractional coordinates):
Ca (0.0000, 0.0000, 0.0000)
Zn (0.5000, 0.5000, 0.5000)
As (0.0000, 0.0000, 0.5000)
Se (0.0000, 0.5000, 0.0000)
Se (0.5000, 0.0000, 0.0000)

Summary:
space group	P4/mmm (123)
M_tot	0.06	μB per atom

Stability, lowest: entry b

Entry a
Ca2SiAs after structural relaxation, computed with PBE.

abc: 3.5984 3.5984 8.1227
angles: 90.00 90.00 92.38
Atoms (fractional coordinates):
Ca (0.0000, 0.0000, 0.0000)
Ca (0.5000, 0.5000, 0.3849)
Si (0.5000, 0.5000, 0.7456)
As (0.0000, 0.0000, 0.6371)

Summary:
space group	Cmm2 (35)
M_tot	0.00	μB per atom

Entry b
Ca2SiAs after structural relaxation, computed with PBE.

abc: 8.8006 8.8006 8.8006
angles: 24.69 24.69 24.69
Atoms (fractional coordinates):
Ca (0.2463, 0.2463, 0.2463)
Ca (0.7537, 0.7537, 0.7537)
Si (0.0000, 0.0000, 0.0000)
As (0.5000, 0.5000, 0.5000)

Summary:
space group	R-3m (166)
M_tot	0.00	μB per atom

Entry c
Ca2SiAs after structural relaxation, computed with PBE.

abc: 3.6124 3.9154 6.6229
angles: 90.00 90.29 90.00
Atoms (fractional coordinates):
Ca (0.0017, 0.0000, 0.2558)
Ca (0.9983, 0.0000, 0.7442)
Si (0.5000, 0.5000, 0.0000)
As (0.5000, 0.5000, 0.5000)

Summary:
space group	P2/m (10)
M_tot	0.00	μB per atom

Entry d
Ca2SiAs after structural relaxation, computed with PBE.

abc: 6.4914 6.4914 6.4914
angles: 104.28 104.28 120.45
Atoms (fractional coordinates):
Ca (0.1144, 0.6250, 0.9894)
Ca (0.3750, 0.3644, 0.4894)
Ca (0.6356, 0.1250, 0.0106)
Ca (0.8750, 0.8856, 0.5106)
Si (0.2500, 0.7500, 0.5000)
Si (0.5000, 0.5000, 0.0000)
As (0.0000, 0.0000, 0.0000)
As (0.7500, 0.2500, 0.5000)

Summary:
space group	I-42d (122)
M_tot	0.00	μB per atom

Stability, lowest: entry a

Entry a
Ca2SiAs after structural relaxation, computed with PBE.

abc: 6.1505 6.1505 6.1505
angles: 139.77 139.77 58.21
Atoms (fractional coordinates):
Ca (0.0000, 0.0000, 0.0000)
Ca (0.7500, 0.2500, 0.5000)
Si (0.2500, 0.7500, 0.5000)
As (0.5000, 0.5000, 0.0000)

Summary:
space group	I-4m2 (119)
M_tot	0.00	μB per atom

Entry b
Ca2SiAs after structural relaxation, computed with PBE.

abc: 3.3256 5.0621 6.0524
angles: 90.00 90.00 90.00
Atoms (fractional coordinates):
Ca (0.0000, 0.0000, 0.0000)
Ca (0.5000, 0.5000, 0.5000)
Si (0.0000, 0.0000, 0.5000)
As (0.5000, 0.5000, 0.0000)

Summary:
space group	Pmmm (47)
M_tot	0.00	μB per atom

Stability, lowest: entry b

Entry a
Ca2SiAs after structural relaxation, computed with PBE.

abc: 5.3367 5.3059 4.7265
angles: 63.97 63.30 52.73
Atoms (fractional coordinates):
Ca (0.2500, 0.2500, 0.2500)
Ca (0.7500, 0.7500, 0.7500)
Si (0.0000, 0.0000, 0.0000)
As (0.5000, 0.5000, 0.5000)

Summary:
space group	Fmmm (69)
M_tot	0.00	μB per atom

Entry b
Ca2SiAs after structural relaxation, computed with PBE.

abc: 5.1134 5.1134 5.1134
angles: 60.00 60.00 60.00
Atoms (fractional coordinates):
Ca (0.0000, 0.0000, 0.0000)
Ca (0.2500, 0.2500, 0.2500)
Si (0.5000, 0.5000, 0.5000)
As (0.7500, 0.7500, 0.7500)

Summary:
space group	F-43m (216)
M_tot	0.00	μB per atom

Stability, lowest: entry b

Entry a
Ca2SiAs after structural relaxation, computed with PBE.

abc: 5.1856 5.1856 3.5499
angles: 90.00 90.00 103.56
Atoms (fractional coordinates):
Ca (0.0000, 0.5000, 0.0000)
Ca (0.5000, 0.0000, 0.0000)
Si (0.0000, 0.0000, 0.5000)
As (0.5000, 0.5000, 0.5000)

Summary:
space group	Cmmm (65)
M_tot	0.00	μB per atom

Entry b
Ca2SiAs after structural relaxation, computed with PBE.

abc: 5.1296 5.1296 5.1296
angles: 60.00 60.00 60.00
Atoms (fractional coordinates):
Ca (0.2500, 0.2500, 0.2500)
Ca (0.7500, 0.7500, 0.7500)
Si (0.0000, 0.0000, 0.0000)
As (0.5000, 0.5000, 0.5000)

Summary:
space group	Fm-3m (225)
M_tot	0.00	μB per atom

Stability, lowest: entry b

Entry a
CaSi3As after structural relaxation, computed with PBE.

abc: 5.2484 5.2484 5.2484
angles: 90.00 90.00 90.00
Atoms (fractional coordinates):
Ca (0.0000, 0.0000, 0.0000)
Si (0.0000, 0.0000, 0.5000)
Si (0.0000, 0.5000, 0.0000)
Si (0.5000, 0.0000, 0.0000)
As (0.5000, 0.5000, 0.5000)

Summary:
space group	Pm-3m (221)
M_tot	0.17	μB per atom

Entry b
CaSi3As after structural relaxation, computed with PBE.

abc: 4.9106 4.9106 4.9106
angles: 90.00 90.00 90.00
Atoms (fractional coordinates):
Ca (0.0000, 0.0000, 0.0000)
Si (0.0000, 0.5000, 0.5000)
Si (0.5000, 0.0000, 0.5000)
Si (0.5000, 0.5000, 0.0000)
As (0.5000, 0.5000, 0.5000)

Summary:
space group	Pm-3m (221)
M_tot	0.00	μB per atom

Stability, lowest: entry a

Entry a
CaSn3As after structural relaxation, computed with PBE.

abc: 5.7133 5.7133 5.7133
angles: 90.00 90.00 90.00
Atoms (fractional coordinates):
Ca (0.0000, 0.0000, 0.0000)
Sn (0.0000, 0.0000, 0.5000)
Sn (0.0000, 0.5000, 0.0000)
Sn (0.5000, 0.0000, 0.0000)
As (0.5000, 0.5000, 0.5000)

Summary:
space group	Pm-3m (221)
M_tot	0.18	μB per atom

Entry b
CaSn3As after structural relaxation, computed with PBE.

abc: 5.4690 5.4690 5.4690
angles: 90.00 90.00 90.00
Atoms (fractional coordinates):
Ca (0.0000, 0.0000, 0.0000)
Sn (0.0000, 0.5000, 0.5000)
Sn (0.5000, 0.0000, 0.5000)
Sn (0.5000, 0.5000, 0.0000)
As (0.5000, 0.5000, 0.5000)

Summary:
space group	Pm-3m (221)
M_tot	0.00	μB per atom

Stability, lowest: entry a

Entry a
Sr2CaAs2 after structural relaxation, computed with PBE.

abc: 8.4057 8.4057 4.2484
angles: 90.00 90.00 90.00
Atoms (fractional coordinates):
Sr (0.1378, 0.3622, 0.0000)
Sr (0.3622, 0.8622, 0.0000)
Sr (0.6378, 0.1378, 0.0000)
Sr (0.8622, 0.6378, 0.0000)
Ca (0.0000, 0.0000, 0.5000)
Ca (0.5000, 0.5000, 0.5000)
As (0.1713, 0.6713, 0.5000)
As (0.3287, 0.1713, 0.5000)
As (0.6713, 0.8287, 0.5000)
As (0.8287, 0.3287, 0.5000)

Summary:
space group	P4/mbm (127)
M_tot	0.00	μB per atom

Entry b
Sr2CaAs2 after structural relaxation, computed with PBE.

abc: 8.6725 8.6725 3.8626
angles: 90.00 90.00 90.00
Atoms (fractional coordinates):
Sr (0.1279, 0.3721, 0.0000)
Sr (0.3721, 0.8721, 0.0000)
Sr (0.6279, 0.1279, 0.0000)
Sr (0.8721, 0.6279, 0.0000)
Ca (0.0000, 0.0000, 0.0000)
Ca (0.5000, 0.5000, 0.0000)
As (0.1762, 0.6762, 0.5000)
As (0.3238, 0.1762, 0.5000)
As (0.6762, 0.8238, 0.5000)
As (0.8238, 0.3238, 0.5000)

Summary:
space group	P4/mbm (127)
M_tot	0.00	μB per atom

Stability, lowest: entry b

Entry a
Sr2CaAs2 after structural relaxation, computed with PBE.

abc: 8.0263 8.0263 8.0263
angles: 120.67 80.95 130.33
Atoms (fractional coordinates):
Sr (0.1465, 0.1398, 0.2863)
Sr (0.3535, 0.6398, 0.9934)
Sr (0.6465, 0.3602, 0.0066)
Sr (0.8535, 0.8602, 0.7137)
Ca (0.2500, 0.7500, 0.5000)
Ca (0.7500, 0.2500, 0.5000)
As (0.1103, 0.7490, 0.8593)
As (0.3897, 0.2490, 0.6386)
As (0.6103, 0.7510, 0.3614)
As (0.8897, 0.2510, 0.1407)

Summary:
space group	Ibam (72)
M_tot	0.00	μB per atom

Entry b
Sr2CaAs2 after structural relaxation, computed with PBE.

abc: 7.3921 7.3921 7.3921
angles: 140.74 140.74 56.73
Atoms (fractional coordinates):
Sr (0.2500, 0.7500, 0.5000)
Sr (0.7500, 0.2500, 0.5000)
Ca (0.0000, 0.0000, 0.0000)
As (0.3952, 0.3952, 0.0000)
As (0.6048, 0.6048, 0.0000)

Summary:
space group	I4/mmm (139)
M_tot	0.00	μB per atom

Stability, lowest: entry b

Entry a
SrCaAs after structural relaxation, computed with PBE.

abc: 7.3740 7.3740 7.3740
angles: 149.71 149.71 43.37
Atoms (fractional coordinates):
Sr (0.0000, 0.0000, 0.0000)
Ca (0.7644, 0.7644, 0.0000)
As (0.3692, 0.3692, 0.0000)

Summary:
space group	I4mm (107)
M_tot	0.14	μB per atom

Entry b
SrCaAs after structural relaxation, computed with PBE.

abc: 5.2635 5.2635 5.2635
angles: 60.00 60.00 60.00
Atoms (fractional coordinates):
Sr (0.0000, 0.0000, 0.0000)
Ca (0.7500, 0.7500, 0.7500)
As (0.2500, 0.2500, 0.2500)

Summary:
space group	F-43m (216)
M_tot	0.00	μB per atom

Entry c
SrCaAs after structural relaxation, computed with PBE.

abc: 4.4463 4.4463 7.2098
angles: 90.00 90.00 120.00
Atoms (fractional coordinates):
Sr (0.0000, 0.0000, 0.0000)
Ca (0.3333, 0.6667, 0.4291)
As (0.6667, 0.3333, 0.2353)

Summary:
space group	P3m1 (156)
M_tot	0.04	μB per atom

Entry d
SrCaAs after structural relaxation, computed with PBE.

abc: 5.1370 5.1370 5.1370
angles: 60.00 60.00 60.00
Atoms (fractional coordinates):
Sr (0.0000, 0.0000, 0.0000)
Ca (0.5000, 0.5000, 0.5000)
As (0.7500, 0.7500, 0.7500)

Summary:
space group	F-43m (216)
M_tot	0.00	μB per atom

Stability, lowest: entry b

Entry a
Sr3CaAs after structural relaxation, computed with PBE.

abc: 6.3057 6.3057 6.3057
angles: 90.00 90.00 90.00
Atoms (fractional coordinates):
Sr (0.0000, 0.0000, 0.5000)
Sr (0.0000, 0.5000, 0.0000)
Sr (0.5000, 0.0000, 0.0000)
Ca (0.0000, 0.0000, 0.0000)
As (0.5000, 0.5000, 0.5000)

Summary:
space group	Pm-3m (221)
M_tot	0.56	μB per atom

Entry b
Sr3CaAs after structural relaxation, computed with PBE.

abc: 6.1307 6.1307 6.1307
angles: 90.00 90.00 90.00
Atoms (fractional coordinates):
Sr (0.0000, 0.0000, 0.5000)
Sr (0.0000, 0.5000, 0.0000)
Sr (0.5000, 0.0000, 0.0000)
Ca (0.5000, 0.5000, 0.5000)
As (0.0000, 0.0000, 0.0000)

Summary:
space group	Pm-3m (221)
M_tot	0.23	μB per atom

Stability, lowest: entry a

Entry a
Ca2TaAs2 after structural relaxation, computed with PBE.

abc: 8.3469 8.3469 3.2449
angles: 90.00 90.00 90.00
Atoms (fractional coordinates):
Ca (0.1288, 0.3712, 0.0000)
Ca (0.3712, 0.8712, 0.0000)
Ca (0.6288, 0.1288, 0.0000)
Ca (0.8712, 0.6288, 0.0000)
Ta (0.0000, 0.0000, 0.0000)
Ta (0.5000, 0.5000, 0.0000)
As (0.1760, 0.6760, 0.5000)
As (0.3240, 0.1760, 0.5000)
As (0.6760, 0.8240, 0.5000)
As (0.8240, 0.3240, 0.5000)

Summary:
space group	P4/mbm (127)
M_tot	0.31	μB per atom

Entry b
Ca2TaAs2 after structural relaxation, computed with PBE.

abc: 7.1637 7.1637 4.3301
angles: 90.00 90.00 90.00
Atoms (fractional coordinates):
Ca (0.1578, 0.3422, 0.0000)
Ca (0.3422, 0.8422, 0.0000)
Ca (0.6578, 0.1578, 0.0000)
Ca (0.8422, 0.6578, 0.0000)
Ta (0.0000, 0.0000, 0.5000)
Ta (0.5000, 0.5000, 0.5000)
As (0.1591, 0.6591, 0.5000)
As (0.3409, 0.1591, 0.5000)
As (0.6591, 0.8409, 0.5000)
As (0.8409, 0.3409, 0.5000)

Summary:
space group	P4/mbm (127)
M_tot	0.00	μB per atom

Stability, lowest: entry a